Density functional theory data (PBE) for a geometry-optimized KAs2P structure.

Properties
Calculated density: 4.0 g/cm³
DOS at the Fermi energy: 0.536 states/eV/atom
Formation energy from the elements: 0.1 eV/f.u.

Lattice parameters (Å, degrees): 8.6066 8.6066 8.6066 23.95 23.95 23.95
With the nearest neighbours (Å) after each atom.
Element x y z (fractional)
K  0.0000  0.0000  0.0000  6 As 3.38, 6 K 3.57
As  0.2266  0.2266  0.2266  3 P 2.55
As  0.7734  0.7734  0.7734  3 P 2.55
P  0.5000  0.5000  0.5000  6 As 2.55

***

Density functional theory data (PBE) for a geometry-optimized KAsP2 structure.

Properties
Calculated density: 2.4 g/cm³
Formation energy from the elements: -0.3 eV/f.u.

Lattice parameters (Å, degrees): 8.2807 8.4986 6.7909 90.00 90.00 90.00
With the nearest neighbours (Å) after each atom.
Element x y z (fractional)
K  0.1774  0.1088  0.2500  8 P 3.40-3.60, 1 As 3.57
K  0.1774  0.3912  0.7500  8 P 3.40-3.60, 1 As 3.57
K  0.8226  0.6088  0.2500  8 P 3.40-3.60, 1 As 3.57
K  0.8226  0.8912  0.7500  8 P 3.40-3.60, 1 As 3.57
As  0.3737  0.7343  0.2500  3 P 2.29-2.36
As  0.3737  0.7657  0.7500  3 P 2.29-2.36
As  0.6263  0.2343  0.2500  3 P 2.29-2.36
As  0.6263  0.2657  0.7500  3 P 2.29-2.36
P  0.1771  0.7500  0.0000  2 As 2.36
P  0.1771  0.7500  0.5000  2 As 2.36
P  0.2206  0.5101  0.2500  1 As 2.29
P  0.2206  0.9899  0.7500  1 As 2.29
P  0.7794  0.0101  0.2500  1 As 2.29
P  0.7794  0.4899  0.7500  1 As 2.29
P  0.8229  0.2500  0.0000  2 As 2.36
P  0.8229  0.2500  0.5000  2 As 2.36

***

Density functional theory data (PBE) for a geometry-optimized K2AsP structure.

Properties
Calculated density: 2.9 g/cm³
DOS at the Fermi energy: 0.678 states/eV/atom
Formation energy from the elements: 1.0 eV/f.u.

Lattice parameters (Å, degrees): 10.8719 10.8719 10.8719 17.94 17.94 17.94
With the nearest neighbours (Å) after each atom.
Element x y z (fractional)
K  0.2473  0.2473  0.2473  3 P 3.24, 3 As 3.38, 6 K 3.39
K  0.7527  0.7527  0.7527  3 P 3.24, 3 As 3.38, 6 K 3.39
As  0.0000  0.0000  0.0000  6 K 3.38, 6 As 3.39
P  0.5000  0.5000  0.5000  6 K 3.24, 6 P 3.39